Record 1
A plane-wave DFT calculation with PBE-GGA was carried out for a relaxed Li2HfTa2S6 crystal.

Computed properties:
symmetry	No. 12
total energy	-6.911	eV/atom

Cell lengths 6.0333, 6.0333, 6.6036 Å; angles 97.56, 97.56, 119.36 degrees
Fractional positions:
Li 0.1730 0.8270 0.0000
Li 0.8270 0.1730 0.0000
Hf 0.0000 0.0000 0.5000
Ta 0.3611 0.6389 0.5000
Ta 0.6389 0.3611 0.5000
S 0.0631 0.4113 0.7281
S 0.2505 0.2505 0.2406
S 0.4113 0.0631 0.7281
S 0.5887 0.9369 0.2719
S 0.7495 0.7495 0.7594
S 0.9369 0.5887 0.2719

***

Record 2
A plane-wave DFT calculation with PBE-GGA was carried out for a relaxed LiTb2HfS5 crystal.

Computed properties:
symmetry	No. 36
total energy	-6.382	eV/atom

Cell lengths 8.2351, 8.2351, 11.5978 Å; angles 90.00, 90.00, 153.39 degrees
Fractional positions:
Li 0.0396 0.9604 0.5000
Li 0.9604 0.0396 0.0000
Tb 0.3685 0.6315 0.3414
Tb 0.3937 0.6063 0.7281
Tb 0.6063 0.3937 0.2281
Tb 0.6315 0.3685 0.8414
Hf 0.3013 0.6987 0.0532
Hf 0.6987 0.3013 0.5532
S 0.0052 0.9948 0.8157
S 0.1397 0.8603 0.0417
S 0.1903 0.8097 0.3991
S 0.2186 0.7814 0.7066
S 0.4473 0.5527 0.1053
S 0.5527 0.4473 0.6053
S 0.7814 0.2186 0.2066
S 0.8097 0.1903 0.8991
S 0.8603 0.1397 0.5417
S 0.9948 0.0052 0.3157

***

Record 3
A plane-wave DFT calculation with PBE-GGA was carried out for a relaxed LiTbHfS4 crystal.

Computed properties:
symmetry	No. 74
total energy	-6.449	eV/atom

Cell lengths 7.7454, 7.7454, 7.7454 Å; angles 121.99, 118.49, 89.61 degrees
Fractional positions:
Li 0.3722 0.1222 0.2500
Li 0.6278 0.8778 0.7500
Tb 0.0000 0.5000 0.5000
Tb 0.5000 0.5000 0.0000
Hf 0.0000 0.0000 0.5000
Hf 0.0000 0.5000 0.0000
S 0.2234 0.2494 0.9740
S 0.2246 0.7506 0.4740
S 0.2314 0.2330 0.5015
S 0.2314 0.7299 0.9985
S 0.7686 0.2701 0.0015
S 0.7686 0.7670 0.4985
S 0.7754 0.2494 0.5260
S 0.7766 0.7506 0.0260